Run A
## K8Rb2Na3 (PBE)

Data for an optimized crystal structure of K8Rb2Na3.

Lattice parameters (Å, degrees): 12.6677 4.6673 15.5465 90.00 108.25 90.00
Closest atoms and distances in Å follow each position.
Space group P2/m (No. 10)
Unique sites:
K  0.1443  0.0000  0.1179 (multiplicity 2)  1 Na 4.08, 1 K 4.29
K  0.1598  0.5000  0.8460 (multiplicity 2)  2 Na 4.13, 1 Rb 4.62
K  0.2777  0.0000  0.6191 (multiplicity 2)  4 Na 4.14-4.42
K  0.3440  0.5000  0.3825 (multiplicity 2)  2 Na 4.21, 5 K 4.46-4.67, 1 Rb 4.61
Rb  0.4690  0.5000  0.1343 (multiplicity 2)  3 Rb 4.48-4.67, 7 K 4.61-4.94
Na  0.0000  0.5000  0.5000 (multiplicity 1)  4 Na 3.54
Na  0.0576  0.0000  0.3497 (multiplicity 2)  2 Na 3.54

The value obtained for the density of states at the Fermi level is 7.85 states/eV/cell.

Run B
## K8Rb2Na3 (PBE)

Data for an optimized crystal structure of K8Rb2Na3.

Lattice parameters (Å, degrees): 19.3774 10.6224 9.0110 90.00 101.32 90.00
Closest atoms and distances in Å follow each position.
Space group C2/m (No. 12)
Unique sites:
K  0.0961  0.0000  0.4119 (multiplicity 4)  2 Na 4.19, 2 K 4.33-4.63, 1 Rb 4.41
K  0.1012  0.1920  0.9170 (multiplicity 8)  2 Na 3.96-4.18, 1 K 4.08, 1 Rb 4.25
K  0.1853  0.5000  0.2694 (multiplicity 4)  1 Na 3.92, 1 Rb 4.27
Rb  0.2030  0.5000  0.7488 (multiplicity 4)  4 K 4.25-4.41, 2 Na 4.47
Na  0.0000  0.3379  0.5000 (multiplicity 4)  1 Na 3.44
Na  0.0000  0.5000  0.0000 (multiplicity 2)  6 K 3.92-3.96

The value obtained for the density of states at the Fermi level is 22.02 states/eV/cell.

Which structure is the least stable? The one labeled run B.

Run A
## K4RbNa4 (PBE)

Data for an optimized crystal structure of K4RbNa4.

Lattice parameters (Å, degrees): 11.6675 11.6675 7.6322 90.00 90.00 90.00
Closest atoms and distances in Å follow each position.
Space group P4_2/n (No. 86, origin choice 2)
Unique sites:
K  0.0908  0.8300  0.1078 (multiplicity 8)  3 Na 3.98-4.25, 1 K 4.16, 1 Rb 4.23
Rb  0.2500  0.2500  0.7500 (multiplicity 2)  4 Na 3.99, 4 K 4.23
Na  0.0623  0.1300  0.3538 (multiplicity 8)  3 K 3.98-4.25, 1 Rb 3.99, 3 Na 4.00-4.04

The value obtained for the density of states at the Fermi level is 11.27 states/eV/cell.

Run B
## K4RbNa4 (PBE)

Data for an optimized crystal structure of K4RbNa4.

Lattice parameters (Å, degrees): 12.3917 12.3917 6.8028 90.00 90.00 90.00
Closest atoms and distances in Å follow each position.
Space group I4/m (No. 87)
Unique sites:
K  0.1404  0.7820  0.0000 (multiplicity 8)  4 Na 3.98-4.11, 2 K 4.43
Rb  0.0000  0.0000  0.5000 (multiplicity 2)  4 Na 4.59, 8 K 4.68
Na  0.0393  0.6318  0.5000 (multiplicity 8)  1 Na 3.41

The value obtained for the density of states at the Fermi level is 11.78 states/eV/cell.

Which structure is the least stable? The one labeled run A.

Run A
## K2Rb8Na3 (PBE)

Data for an optimized crystal structure of K2Rb8Na3.

Lattice parameters (Å, degrees): 11.3563 7.4412 12.8079 90.00 112.62 90.00
Closest atoms and distances in Å follow each position.
Space group P2/m (No. 10)
Unique sites:
K  0.2057  0.0000  0.0814 (multiplicity 2)  1 K 4.32, 7 Rb 4.41-4.83
Rb  0.1032  0.0000  0.3802 (multiplicity 2)  3 Na 4.16-4.22, 1 K 4.41, 1 Rb 4.52
Rb  0.1032  0.5000  0.8527 (multiplicity 2)  1 Na 4.29, 2 K 4.60, 2 Rb 4.78
Rb  0.3611  0.0000  0.7797 (multiplicity 2)  3 Na 4.43-4.71, 2 K 4.54-4.83, 2 Rb 4.82-4.87
Rb  0.3948  0.5000  0.3051 (multiplicity 2)  4 Na 4.38-4.66, 1 Rb 4.63, 2 K 4.68
Na  0.1784  0.5000  0.5493 (multiplicity 2)  1 Na 3.75
Na  0.5000  0.0000  0.5000 (multiplicity 1)  8 Rb 4.16-4.43

The value obtained for the density of states at the Fermi level is 10.13 states/eV/cell.

Run B
## K2Rb8Na3 (PBE)

Data for an optimized crystal structure of K2Rb8Na3.

Lattice parameters (Å, degrees): 19.0476 11.6652 9.3573 90.00 99.64 90.00
Closest atoms and distances in Å follow each position.
Space group C2/m (No. 12)
Unique sites:
K  0.1840  0.0000  0.2601 (multiplicity 4)  4 Rb 4.23-4.60, 3 Na 4.32-4.47
Rb  0.1003  0.5000  0.8988 (multiplicity 4)  4 Rb 4.54-5.04, 1 K 4.60, 2 Na 4.61
Rb  0.1108  0.3090  0.4198 (multiplicity 8)  1 K 4.23, 2 Na 4.31-4.50, 2 Rb 4.46-4.71
Rb  0.1768  0.0000  0.7896 (multiplicity 4)  1 Na 3.95, 1 K 4.38
Na  0.0000  0.0000  0.5000 (multiplicity 2)  6 Rb 3.95-4.31
Na  0.0000  0.1565  0.0000 (multiplicity 4)  1 Na 3.65

The value obtained for the density of states at the Fermi level is 22.14 states/eV/cell.

Which structure is the least stable? The one labeled run B.

Run A
## K5Rb4Na (PBE)

Data for an optimized crystal structure of K5Rb4Na.

Lattice parameters (Å, degrees): 14.0712 14.0712 7.8402 90.00 90.00 90.00
Closest atoms and distances in Å follow each position.
Space group I4 (No. 79)
Unique sites:
K  0.0000  0.0000  0.0000 (multiplicity 2)  1 Na 3.66
K  0.1786  0.8203  0.6761 (multiplicity 8)  1 Na 3.93, 1 K 4.38
Rb  0.9996  0.3167  0.1980 (multiplicity 8)  5 K 4.52-4.92, 1 Na 4.93
Na  0.0000  0.0000  0.4662 (multiplicity 2)  5 K 3.66-3.93

The value obtained for the density of states at the Fermi level is 13.71 states/eV/cell.

Run B
## K5Rb4Na (PBE)

Data for an optimized crystal structure of K5Rb4Na.

Lattice parameters (Å, degrees): 4.8679 4.8679 31.8362 90.00 90.00 90.00
Closest atoms and distances in Å follow each position.
Space group P4/mmm (No. 123)
Unique sites:
K  0.0000  0.0000  0.0000 (multiplicity 1)  8 Rb 4.83, 4 K 4.87
K  0.0000  0.0000  0.2125 (multiplicity 2)  8 Rb 4.83-4.84, 4 K 4.87
K  0.0000  0.0000  0.4271 (multiplicity 2)  4 Na 4.15, 1 K 4.64
Rb  0.5000  0.5000  0.1062 (multiplicity 2)  8 K 4.83, 4 Rb 4.87
Rb  0.5000  0.5000  0.3196 (multiplicity 2)  8 K 4.84-4.85, 4 Rb 4.87
Na  0.5000  0.5000  0.5000 (multiplicity 1)  8 K 4.15

The value obtained for the density of states at the Fermi level is 7.50 states/eV/cell.

Which structure is the least stable? The one labeled run A.

Run A
## K5Rb2Na2 (PBE)

Data for an optimized crystal structure of K5Rb2Na2.

Lattice parameters (Å, degrees): 26.9253 9.6739 9.6642 90.00 90.00 90.00
Closest atoms and distances in Å follow each position.
Space group Cmce (No. 64)
Unique sites:
K  0.0000  0.0000  0.0000 (multiplicity 4)  4 Na 3.84
K  0.1134  0.1767  0.3230 (multiplicity 16)  3 Na 4.10-4.24
Rb  0.2329  0.0000  0.0000 (multiplicity 8)  6 K 4.79-4.80, 4 Rb 4.92
Na  0.0000  0.1228  0.6225 (multiplicity 8)  1 Na 3.36

The value obtained for the density of states at the Fermi level is 21.31 states/eV/cell.

Run B
## K5Rb2Na2 (PBE)

Data for an optimized crystal structure of K5Rb2Na2.

Lattice parameters (Å, degrees): 19.3844 12.7240 10.1449 90.00 90.00 90.00
Closest atoms and distances in Å follow each position.
Space group Ima2 (No. 46)
Unique sites:
K  0.0465  0.1729  0.0000 (multiplicity 8)  1 Na 4.02, 2 Rb 4.46-4.49
K  0.1450  0.6961  0.2311 (multiplicity 8)  2 Na 3.79-4.19, 1 K 4.07
K  0.2500  0.1771  0.7118 (multiplicity 4)  1 Na 4.06
Rb  0.1270  0.0151  0.3608 (multiplicity 8)  2 Na 4.07-4.22, 3 K 4.28-4.49
Na  0.0000  0.0000  0.6800 (multiplicity 4)  4 K 3.79-4.02, 2 Rb 4.07
Na  0.2500  0.5255  0.5211 (multiplicity 4)  3 K 4.06-4.19, 2 Rb 4.22

The value obtained for the density of states at the Fermi level is 25.55 states/eV/cell.

Which structure is the least stable? The one labeled run B.

Run A
## K8Rb6Na (PBE)

Data for an optimized crystal structure of K8Rb6Na.

Lattice parameters (Å, degrees): 10.6537 10.6537 38.0991 90.00 90.00 120.00
Closest atoms and distances in Å follow each position.
Space group R-3 (No. 148, hexagonal axes)
Unique sites:
K  0.0000  0.0000  0.2011 (multiplicity 6)  3 K 4.72, 6 Rb 4.73-4.79
K  0.0392  0.2615  0.6955 (multiplicity 18)  6 K 4.39-4.72, 2 Rb 4.53-4.65
Rb  0.0053  0.5688  0.7720 (multiplicity 18)  1 Na 3.96
Na  0.0000  0.0000  0.5000 (multiplicity 3)  6 Rb 3.96

The value obtained for the density of states at the Fermi level is 34.11 states/eV/cell.

Run B
## K8Rb6Na (PBE)

Data for an optimized crystal structure of K8Rb6Na.

Lattice parameters (Å, degrees): 11.8648 11.8648 28.4976 90.00 90.00 120.00
Closest atoms and distances in Å follow each position.
Space group R-3 (No. 148, hexagonal axes)
Unique sites:
K  0.0000  0.0000  0.0752 (multiplicity 6)  4 K 4.28-4.51, 3 Rb 4.74
K  0.0596  0.2502  0.6335 (multiplicity 18)  5 K 4.51-4.74, 3 Rb 4.57-4.70, 1 Na 4.66
Rb  0.0324  0.7756  0.2076 (multiplicity 18)  1 Na 4.52, 4 K 4.57-4.74, 5 Rb 4.71-4.98
Na  0.0000  0.0000  0.5000 (multiplicity 3)  6 Rb 4.52, 6 K 4.66

The value obtained for the density of states at the Fermi level is 42.57 states/eV/cell.

Which structure is the least stable? The one labeled run A.

Run A
## K4Rb3Na (PBE)

Data for an optimized crystal structure of K4Rb3Na.

Lattice parameters (Å, degrees): 15.0501 10.3820 7.5384 90.00 90.00 90.00
Closest atoms and distances in Å follow each position.
Space group Pmn2_1 (No. 31)
Unique sites:
K  0.0000  0.0945  0.0000 (multiplicity 2)  4 K 4.34-4.51, 3 Rb 4.50-4.85, 1 Na 4.59
K  0.0000  0.8562  0.5000 (multiplicity 2)  2 Na 4.32, 4 K 4.51-4.74, 2 Rb 4.77
K  0.2454  0.8744  0.9945 (multiplicity 4)  4 K 4.34-4.74, 1 Na 4.35, 3 Rb 4.61-4.71
Rb  0.0000  0.3900  0.4980 (multiplicity 2)  2 Na 4.64-4.66, 5 K 4.71-4.87, 6 Rb 4.77-5.11
Rb  0.2269  0.3774  0.9944 (multiplicity 4)  1 Na 4.45, 4 K 4.50-4.77, 3 Rb 4.60-4.77
Na  0.0000  0.6525  0.0000 (multiplicity 2)  5 K 4.32-4.59, 4 Rb 4.45-4.66

The value obtained for the density of states at the Fermi level is 13.09 states/eV/cell.

Run B
## K4Rb3Na (PBE)

Data for an optimized crystal structure of K4Rb3Na.

Lattice parameters (Å, degrees): 35.5748 4.4932 7.8728 90.00 102.58 90.00
Closest atoms and distances in Å follow each position.
Space group C2/m (No. 12)
Unique sites:
K  0.0934  0.0000  0.0911 (multiplicity 4)  2 Na 3.94, 2 Rb 4.40-4.41
K  0.2251  0.0000  0.2234 (multiplicity 4)  7 K 4.49-4.88, 4 Rb 4.70-4.88
Rb  0.0000  0.0000  0.5000 (multiplicity 2)  2 Rb 4.49, 4 Na 4.53
Rb  0.1502  0.0000  0.6478 (multiplicity 4)  6 K 4.40-4.88, 2 Rb 4.49
Na  0.0000  0.5000  0.0000 (multiplicity 2)  4 K 3.94

The value obtained for the density of states at the Fermi level is 12.05 states/eV/cell.

Which structure is the least stable? The one labeled run B.

Run A
## K2RbNaS (PBE)

Data for an optimized crystal structure of K2RbNaS.

Lattice parameters (Å, degrees): 6.2153 6.2153 6.5420 90.00 90.00 90.00
Closest atoms and distances in Å follow each position.
Space group P4/mmm (No. 123)
Unique sites:
K  0.0000  0.5000  0.0000 (multiplicity 2)  2 S 3.11
Rb  0.0000  0.0000  0.5000 (multiplicity 1)  2 S 3.27
Na  0.5000  0.5000  0.5000 (multiplicity 1)  4 Rb 4.39, 8 K 4.51
S  0.0000  0.0000  0.0000 (multiplicity 1)  4 K 3.11, 2 Rb 3.27

The value obtained for the density of states at the Fermi level is 0.71 states/eV/cell.

Run B
## K2RbNaS (PBE)

Data for an optimized crystal structure of K2RbNaS.

Lattice parameters (Å, degrees): 6.4397 6.4397 5.6533 90.00 90.00 90.00
Closest atoms and distances in Å follow each position.
Space group P4/mmm (No. 123)
Unique sites:
K  0.0000  0.5000  0.0000 (multiplicity 2)  2 S 3.22
Rb  0.0000  0.0000  0.5000 (multiplicity 1)  8 K 4.28, 4 Na 4.55
Na  0.5000  0.5000  0.5000 (multiplicity 1)  2 S 2.83
S  0.5000  0.5000  0.0000 (multiplicity 1)  2 Na 2.83

The value obtained for the density of states at the Fermi level is 1.77 states/eV/cell.

Which structure is the least stable? The one labeled run B.

Run A
## KRbNa2Se (PBE)

Data for an optimized crystal structure of KRbNa2Se.

Lattice parameters (Å, degrees): 5.8712 5.8712 6.7876 90.00 90.00 90.00
Closest atoms and distances in Å follow each position.
Space group P4/mmm (No. 123)
Unique sites:
K  0.0000  0.0000  0.0000 (multiplicity 1)  4 Rb 4.15, 8 Na 4.49
Rb  0.5000  0.5000  0.0000 (multiplicity 1)  2 Se 3.39
Na  0.0000  0.5000  0.5000 (multiplicity 2)  2 Se 2.94
Se  0.5000  0.5000  0.5000 (multiplicity 1)  4 Na 2.94

The value obtained for the density of states at the Fermi level is 2.98 states/eV/cell.

Run B
## KRbNa2Se (PBE)

Data for an optimized crystal structure of KRbNa2Se.

Lattice parameters (Å, degrees): 5.9101 5.9101 6.5143 90.00 90.00 90.00
Closest atoms and distances in Å follow each position.
Space group P4/mmm (No. 123)
Unique sites:
K  0.0000  0.0000  0.0000 (multiplicity 1)  2 Se 3.26
Rb  0.5000  0.5000  0.0000 (multiplicity 1)  4 K 4.18, 8 Na 4.40
Na  0.0000  0.5000  0.5000 (multiplicity 2)  2 Se 2.96
Se  0.0000  0.0000  0.5000 (multiplicity 1)  4 Na 2.96, 2 K 3.26

The value obtained for the density of states at the Fermi level is 2.61 states/eV/cell.

Which structure is the least stable? The one labeled run A.

Run A
## KRbNa2Sn (PBE)

Data for an optimized crystal structure of KRbNa2Sn.

Lattice parameters (Å, degrees): 6.1810 6.1810 6.9750 90.00 90.00 90.00
Closest atoms and distances in Å follow each position.
Space group P4/mmm (No. 123)
Unique sites:
K  0.0000  0.0000  0.0000 (multiplicity 1)  4 Rb 4.37, 8 Na 4.66
Rb  0.5000  0.5000  0.0000 (multiplicity 1)  2 Sn 3.49
Na  0.0000  0.5000  0.5000 (multiplicity 2)  2 Sn 3.09
Sn  0.5000  0.5000  0.5000 (multiplicity 1)  4 Na 3.09

The value obtained for the density of states at the Fermi level is 2.83 states/eV/cell.

Run B
## KRbNa2Sn (PBE)

Data for an optimized crystal structure of KRbNa2Sn.

Lattice parameters (Å, degrees): 6.1611 6.1611 6.7579 90.00 90.00 90.00
Closest atoms and distances in Å follow each position.
Space group P4/mmm (No. 123)
Unique sites:
K  0.0000  0.0000  0.0000 (multiplicity 1)  2 Sn 3.38
Rb  0.5000  0.5000  0.0000 (multiplicity 1)  4 K 4.36, 8 Na 4.57
Na  0.0000  0.5000  0.5000 (multiplicity 2)  2 Sn 3.08
Sn  0.0000  0.0000  0.5000 (multiplicity 1)  4 Na 3.08, 2 K 3.38

The value obtained for the density of states at the Fermi level is 2.75 states/eV/cell.

Run C
## KRbNa2Sn (PBE)

Data for an optimized crystal structure of KRbNa2Sn.

Lattice parameters (Å, degrees): 6.1328 6.1328 6.5905 90.00 90.00 90.00
Closest atoms and distances in Å follow each position.
Space group P4/mmm (No. 123)
Unique sites:
K  0.0000  0.0000  0.0000 (multiplicity 1)  2 Rb 3.30
Rb  0.0000  0.0000  0.5000 (multiplicity 1)  4 Na 3.07, 2 K 3.30
Na  0.0000  0.5000  0.5000 (multiplicity 2)  2 Rb 3.07
Sn  0.5000  0.5000  0.0000 (multiplicity 1)  4 K 4.34, 8 Na 4.50

The value obtained for the density of states at the Fermi level is 4.07 states/eV/cell.

Which structure is the least stable? The one labeled run C.